Tb5P12Ru19, optimized geometry, DFT GGA-PBEsol; ρ = 9.825 g/cm3; Fermi-level density of states = 20.35 states/eV/cell; formation energy from the elements = -0.8991 eV per atom
1.0
-0.2008 -3.4992 -1.7534
11.7084 1.2689 -3.8734
-2.3675 -5.3429 10.9339
Tb P Ru
5 12 19
Cartesian
-0.5368 -2.7343 1.1385
2.0576 -1.5157 -1.5906
7.5189 -5.0727 4.8825
2.3245 -3.1389 5.9981
7.0165 -0.9350 1.0623
-1.9314 -4.3587 8.9198
9.5517 1.0352 -3.1599
1.7207 -0.7504 1.3006
2.3625 -3.9132 3.1592
0.2597 -5.2355 6.0388
4.0501 -5.5169 6.1663
8.3711 -3.4872 1.6208
4.7679 -2.7834 0.6288
7.6092 -1.7832 -1.6926
-0.8833 -1.9934 4.0793
4.3683 0.4734 -1.4451
5.8559 -2.5540 4.4263
-1.3155 -2.9689 6.0757
6.5061 0.7051 -2.1524
4.1504 -1.8102 3.1371
-1.7984 -5.5817 6.9655
8.2973 -0.8395 -3.6548
2.5409 -2.9015 1.1198
1.3618 -1.7706 3.3777
0.2494 -4.0798 8.1135
5.3623 -3.5664 6.5032
8.0728 -2.2932 3.6518
3.9598 -0.5503 0.6447
9.0168 0.0385 -1.1095
0.2003 -4.2136 4.0062
2.1121 -5.9606 7.2739
4.3598 -4.4914 4.0842
6.1184 -3.6653 2.2343
5.3508 -1.7942 -1.4119
9.2790 -2.5942 -0.2654
0.0000 0.0000 0.0000